[1]
# InFe3Ni

InFe3Ni after structural relaxation (PBE, Alexandria).

It has space group Pm-3m (No. 221), with a = 4.3742 Å, b = 4.3742 Å, c = 4.3742 Å, α = 90.00°, β = 90.00° and γ = 90.00°. The inequivalent atoms are In at (0.0000, 0.0000, 0.0000), Fe at (0.0000, 0.5000, 0.5000) and Ni at (0.5000, 0.5000, 0.5000).

The total energy is -6.038 eV/atom. The calculation puts the total moment at 9.3 μB per formula unit. The value obtained for the energy relative to the elements is 744 meV/atom. The density of states at the Fermi level comes out at 1.01 states/eV per atom. The calculated volume comes out at 16.7 Å³/atom. For the energy above the lowest structure with this stoichiometry, the calculation gives 0 meV/atom.

[2]
# InFeNi2

InFeNi2 after structural relaxation (PBE, Alexandria).

It has space group I-4m2 (No. 119), with a = 3.7816 Å, b = 3.7816 Å, c = 7.5324 Å, α = 90.00°, β = 90.00° and γ = 90.00°. The inequivalent atoms are In at (0.0000, 0.0000, 0.0000), Fe at (0.0000, 0.5000, 0.2500), Ni at (0.0000, 0.0000, 0.5000) and Ni at (0.0000, 0.5000, 0.7500).

The total energy is -5.636 eV/atom. The calculation puts the total moment at 3.2 μB per formula unit. The value obtained for the energy relative to the elements is 55 meV/atom. The density of states at the Fermi level comes out at 0.71 states/eV per atom. The calculated volume comes out at 13.5 Å³/atom.

[3]
# InFeNi2

InFeNi2 after structural relaxation (PBE, Alexandria).

It has space group Cm (No. 8), with a = 8.8420 Å, b = 2.9108 Å, c = 4.4037 Å, α = 90.00°, β = 104.75° and γ = 90.00°. The inequivalent atoms are In at (0.0000, 0.0000, 0.0000), Fe at (0.2643, 0.5000, 0.3202), Ni at (0.0031, 0.5000, 0.5001) and Ni at (0.2451, 0.0000, 0.7647).

The total energy is -5.603 eV/atom. The calculation puts the total moment at 3.5 μB per formula unit. The value obtained for the energy relative to the elements is 88 meV/atom. The density of states at the Fermi level comes out at 0.91 states/eV per atom. The calculated volume comes out at 13.7 Å³/atom.

[4]
# InFe2Ni

InFe2Ni after structural relaxation (PBE, Alexandria).

It has space group I-4m2 (No. 119), with a = 4.2377 Å, b = 4.2377 Å, c = 6.0599 Å, α = 90.00°, β = 90.00° and γ = 90.00°. The inequivalent atoms are In at (0.0000, 0.0000, 0.0000), Fe at (0.0000, 0.0000, 0.5000), Fe at (0.0000, 0.5000, 0.2500) and Ni at (0.0000, 0.5000, 0.7500).

The total energy is -6.257 eV/atom. The calculation puts the total moment at 4.9 μB per formula unit. The value obtained for the energy relative to the elements is 105 meV/atom. The density of states at the Fermi level comes out at 0.58 states/eV per atom. The calculated volume comes out at 13.6 Å³/atom.

[5]
# InFeNi2

InFeNi2 after structural relaxation (PBE, Alexandria).

It has space group R-3m (No. 166, hexagonal axes), with a = 2.9030 Å, b = 2.9030 Å, c = 23.5665 Å, α = 90.00°, β = 90.00° and γ = 120.00°. The inequivalent atoms are In at (0.0000, 0.0000, 0.0000), Fe at (0.0000, 0.0000, 0.5000) and Ni at (0.0000, 0.0000, 0.2419).

The total energy is -5.441 eV/atom. The calculation puts the total moment at 3.8 μB per formula unit. The value obtained for the energy relative to the elements is 249 meV/atom. The density of states at the Fermi level comes out at 0.78 states/eV per atom. The calculated volume comes out at 14.3 Å³/atom.

[6]
# InFeNi2

InFeNi2 after structural relaxation (PBE, Alexandria).

It has space group I-42d (No. 122), with a = 3.7454 Å, b = 3.7454 Å, c = 17.1285 Å, α = 90.00°, β = 90.00° and γ = 90.00°. The inequivalent atoms are In at (0.0000, 0.0000, 0.0000), Fe at (0.0000, 0.0000, 0.5000) and Ni at (0.2183, 0.2500, 0.6250).

The total energy is -5.260 eV/atom. The calculation puts the total moment at 3.3 μB per formula unit. The value obtained for the energy relative to the elements is 431 meV/atom. The density of states at the Fermi level comes out at 0.81 states/eV per atom. The calculated volume comes out at 15.0 Å³/atom.

[7]
# InFe2Ni

InFe2Ni after structural relaxation (PBE, Alexandria).

It has space group I4/mmm (No. 139), with a = 3.6806 Å, b = 3.6806 Å, c = 8.0805 Å, α = 90.00°, β = 90.00° and γ = 90.00°. The inequivalent atoms are In at (0.0000, 0.0000, 0.0000), Fe at (0.0000, 0.5000, 0.2500) and Ni at (0.0000, 0.0000, 0.5000).

The total energy is -6.249 eV/atom. The calculation puts the total moment at 5.1 μB per formula unit. The value obtained for the energy relative to the elements is 113 meV/atom. The density of states at the Fermi level comes out at 1.08 states/eV per atom. The calculated volume comes out at 13.7 Å³/atom.

[8]
# InFe2Ni

InFe2Ni after structural relaxation (PBE, Alexandria).

It has space group R-3m (No. 166, hexagonal axes), with a = 2.7781 Å, b = 2.7781 Å, c = 25.5494 Å, α = 90.00°, β = 90.00° and γ = 120.00°. The inequivalent atoms are In at (0.0000, 0.0000, 0.0000), Fe at (0.0000, 0.0000, 0.2424) and Ni at (0.0000, 0.0000, 0.5000).

The total energy is -5.962 eV/atom. The calculation puts the total moment at 5.5 μB per formula unit. The value obtained for the energy relative to the elements is 400 meV/atom. The density of states at the Fermi level comes out at 1.18 states/eV per atom. The calculated volume comes out at 14.2 Å³/atom.

Look up the energy relative to the elements of the seventh one.
113 meV/atom

Which value of total moment does entry 3 give?
3.5 μB per formula unit

Repeat the seventh record exactly.
# InFe2Ni

InFe2Ni after structural relaxation (PBE, Alexandria).

It has space group I4/mmm (No. 139), with a = 3.6806 Å, b = 3.6806 Å, c = 8.0805 Å, α = 90.00°, β = 90.00° and γ = 90.00°. The inequivalent atoms are In at (0.0000, 0.0000, 0.0000), Fe at (0.0000, 0.5000, 0.2500) and Ni at (0.0000, 0.0000, 0.5000).

The total energy is -6.249 eV/atom. The calculation puts the total moment at 5.1 μB per formula unit. The value obtained for the energy relative to the elements is 113 meV/atom. The density of states at the Fermi level comes out at 1.08 states/eV per atom. The calculated volume comes out at 13.7 Å³/atom.

The highest energy relative to the elements belongs to which entry?
InFe3Ni